Entry 1:
DFT (PBE) results for a geometry-optimized Ca4YSe5 structure.

Results
The formation energy (no corrections) comes out at -19.63 eV per formula unit. The energy relative to the lowest polymorph listed for this composition comes out at 7 meV per atom.

Lattice parameters (Å, degrees): 9.345 9.345 5.902 90.00 90.00 90.00
Space group I4/m (No. 87)
Asymmetric unit:
Ca: 0.099 0.301 0.000
Y: 0.000 0.000 0.500
Se: 0.000 0.000 0.000
Se: 0.099 0.296 0.500

Entry 2:
DFT (PBE) results for a geometry-optimized Pm4NdU3N8 structure.

Results
The formation energy (no corrections) comes out at -22.89 eV per formula unit.

Lattice parameters (Å, degrees): 7.0643 7.0643 17.3628 90.00 90.00 120.00
Space group R-3m (No. 166, hexagonal axes)
Asymmetric unit:
Pm: 0.0000 0.0000 0.0000
Pm: 0.0000 0.5000 0.0000
Nd: 0.0000 0.0000 0.5000
U: 0.0000 0.5000 0.5000
N: 0.0000 0.0000 0.2377
N: 0.0242 0.5121 0.7608

Copy entry 2 word for word.
DFT (PBE) results for a geometry-optimized Pm4NdU3N8 structure.

Results
The formation energy (no corrections) comes out at -22.89 eV per formula unit.

Lattice parameters (Å, degrees): 7.0643 7.0643 17.3628 90.00 90.00 120.00
Space group R-3m (No. 166, hexagonal axes)
Asymmetric unit:
Pm: 0.0000 0.0000 0.0000
Pm: 0.0000 0.5000 0.0000
Nd: 0.0000 0.0000 0.5000
U: 0.0000 0.5000 0.5000
N: 0.0000 0.0000 0.2377
N: 0.0242 0.5121 0.7608

formation energy (no corrections) of number 2 (Pm4NdU3N8)?
-22.89 eV per formula unit

What is the formation energy (no corrections) in the first record?
-19.63 eV per formula unit

Which value of formation energy (no corrections) does entry 2 give?
-22.89 eV per formula unit